Sm2GaSn | GGA-PBE | relaxed

- E_form (eV per atom) = -0.715
- calculated total energy (eV per atom) = -4.83
- magnetization (μB per atom) = 0.00

```
data_Sm2GaSn
_cell_length_a 6.1455
_cell_length_b 4.2267
_cell_length_c 8.8938
_cell_angle_alpha 90.00
_cell_angle_beta 107.99
_cell_angle_gamma 90.00
_space_group_name_H-M_alt 'P 1 21/m 1'
_space_group_IT_number 11
loop_
_space_group_symop_operation_xyz
'x,y,z'
'-x,-y,-z'
'-x,y+1/2,-z'
'x,-y+1/2,z'
loop_
_atom_site_label
_atom_site_type_symbol
_atom_site_fract_x
_atom_site_fract_y
_atom_site_fract_z
_atom_site_occupancy
Sm1 Sm 0.2001 0.2500 0.4252 1
Sm2 Sm 0.2818 0.7500 0.0645 1
Ga1 Ga 0.1262 0.2500 0.7922 1
Sn1 Sn 0.3702 0.7500 0.7110 1
```

---

Sm8GaSn2 | GGA-PBE | relaxed

- E_form (eV per atom) = -0.378
- calculated total energy (eV per atom) = -4.81
- magnetization (μB per atom) = 0.00

```
data_Sm8GaSn2
_cell_length_a 19.5249
_cell_length_b 5.1692
_cell_length_c 6.8540
_cell_angle_alpha 90.00
_cell_angle_beta 104.67
_cell_angle_gamma 90.00
_space_group_name_H-M_alt 'C 1 2/m 1'
_space_group_IT_number 12
loop_
_space_group_symop_operation_xyz
'x,y,z'
'-x,-y,-z'
'-x,y,-z'
'x,-y,z'
'x+1/2,y+1/2,z'
'-x+1/2,-y+1/2,-z'
'-x+1/2,y+1/2,-z'
'x+1/2,-y+1/2,z'
loop_
_atom_site_label
_atom_site_type_symbol
_atom_site_fract_x
_atom_site_fract_y
_atom_site_fract_z
_atom_site_occupancy
Sm1 Sm 0.0155 0.0000 0.2758 1
Sm2 Sm 0.0910 0.5000 0.9719 1
Sm3 Sm 0.1542 0.5000 0.4993 1
Sm4 Sm 0.2154 0.0000 0.8189 1
Ga1 Ga 0.0000 0.5000 0.5000 1
Sn1 Sn 0.1789 0.0000 0.2534 1
```

---

Sm3Ga2Sn3 | GGA-PBE | relaxed

- E_form (eV per atom) = -0.688
- calculated total energy (eV per atom) = -4.72
- magnetization (μB per atom) = 0.00

```
data_Sm3Ga2Sn3
_cell_length_a 9.9868
_cell_length_b 8.0247
_cell_length_c 10.1060
_cell_angle_alpha 90.00
_cell_angle_beta 90.00
_cell_angle_gamma 90.00
_space_group_name_H-M_alt 'C m c m'
_space_group_IT_number 63
_space_group_name_Hall '-C 2c 2'
loop_
_atom_site_label
_atom_site_type_symbol
_atom_site_fract_x
_atom_site_fract_y
_atom_site_fract_z
_atom_site_occupancy
Sm1 Sm 0.0000 0.1359 0.2500 1
Sm2 Sm 0.2019 0.5000 0.0000 1
Ga1 Ga 0.0000 0.1826 0.5421 1
Sn1 Sn 0.0000 0.4765 0.7500 1
Sn2 Sn 0.2019 0.2079 0.7500 1
```